## K2ZrB2S6 (PBE)

Data for an optimized crystal structure of K2ZrB2S6.

a = 6.5823 Å, b = 6.4647 Å, c = 8.0017 Å
α = 112.56°, β = 90.00°, γ = 120.60°
Element x y z (fractional)
S 0.7517 0.5035 0.6214
S 0.7357 0.9415 0.2412
K 0.2994 0.5989 0.8210
Zr 0.5000 0.0000 0.5000
S 0.2483 0.4965 0.3786
K 0.7006 0.4011 0.1790
B 0.0684 0.1367 0.2976
S 0.2059 0.9415 0.2412
B 0.9316 0.8633 0.7024
S 0.7941 0.0585 0.7588
S 0.2643 0.0585 0.7588

Output
Space group: C2/m, No. 12
E_form (uncorrected) (kJ/mol of atoms): -89.09